The following is a GGA-PBE calculation of crystalline La5Er7 at its relaxed geometry, from the Alexandria database.

## Properties
- crystal system = monoclinic
- ΔH_f (0 K) (eV/f.u.) = 0.2
- spin magnetization (μB per formula unit) = 0.00
- SG = C2/m, No. 12
- mass density (g/cm3) = 7.8

Cell lengths 3.632, 9.561, 12.198 Å; angles 73.97, 81.44, 79.05 degrees
Fractional positions:
La 0.835 0.832 0.497
La 0.165 0.168 0.503
La 0.694 0.362 0.250
La 0.306 0.638 0.750
La 0.000 0.000 0.000
Er 0.637 0.974 0.752
Er 0.363 0.026 0.248
Er 0.027 0.698 0.249
Er 0.973 0.302 0.751
Er 0.334 0.336 0.995
Er 0.500 0.500 0.500
Er 0.666 0.664 0.005